No. 1
A relaxed Th8Ir3Se4S crystal, computed with GGA-PBE.

a b c (Å): 8.2856 8.2856 21.4646
angles (deg): 90.00 90.00 120.00
Space group R-3m (No. 166, hexagonal axes)
Inequivalent atoms, fractional coordinates:
1 Th 0.0000 0.0000 0.2383
2 Th 0.0034 0.5017 0.7570
3 Ir 0.0000 0.5000 0.5000
4 Se 0.0000 0.0000 0.0000
5 Se 0.0000 0.5000 0.0000
6 S 0.0000 0.0000 0.5000

Properties
Calculated volume, Å³/atom: 26.6
Energy, eV for the cell shown: -378.92
Calculated density, Mg/m³: 10.86



No. 2
A relaxed Pm15Nd4Ho crystal, computed with GGA-PBE.

a b c (Å): 5.165 5.165 25.791
angles (deg): 90.00 90.00 90.00
Space group P4/mmm (No. 123)
Inequivalent atoms, fractional coordinates:
1 Pm 0.000 0.000 0.000
2 Pm 0.000 0.000 0.199
3 Pm 0.000 0.000 0.400
4 Pm 0.000 0.500 0.099
5 Pm 0.000 0.500 0.299
6 Pm 0.000 0.500 0.500
7 Nd 0.500 0.500 0.199
8 Nd 0.500 0.500 0.400
9 Ho 0.500 0.500 0.000

Properties
Energy relative to the elements, eV/atom: 0.01
Calculated volume, Å³/atom: 34.4
Energy, eV for the cell shown: -94.61
Calculated density, Mg/m³: 7.04



What is the formula in the first record?
Th8Ir3Se4S



Number 1 is which compound?
Th8Ir3Se4S



Among the records above, which one has the highest calculated density?
Th8Ir3Se4S



calculated density of number 2 (Pm15Nd4Ho)?
7.04 Mg/m³